1.
First-principles (PBE) data for crystalline Tb2DyIn2Ag2 at its relaxed geometry, as listed in Alexandria.

Properties
ΔH_f (0 K)	-0.28	eV per atom
total moment	0.0	μB/cell
energy	-27.00	eV per formula unit
D(E_F)	0.7325	states/eV per atom

abc: 9.344 9.344 9.344
angles: 30.05 30.05 30.05
Sites, in units of the cell vectors:
1 Tb 0.126 0.126 0.126
2 Tb 0.874 0.874 0.874
3 Dy 0.000 0.000 0.000
4 In 0.261 0.261 0.261
5 In 0.739 0.739 0.739
6 Ag 0.396 0.396 0.396
7 Ag 0.604 0.604 0.604

2.
First-principles (PBE) data for crystalline U2P4Ru5 at its relaxed geometry, as listed in Alexandria.

Properties
ΔH_f (0 K)	-0.53	eV per atom
total moment	3.7	μB/cell
energy	-96.43	eV per formula unit
D(E_F)	1.0960	states/eV per atom

abc: 8.240 7.228 5.590
angles: 78.87 59.40 41.73
Sites, in units of the cell vectors:
1 U 0.106 0.106 0.894
2 U 0.894 0.894 0.106
3 P 0.213 0.519 0.481
4 P 0.481 0.787 0.213
5 P 0.519 0.213 0.787
6 P 0.787 0.481 0.519
7 Ru 0.000 0.000 0.500
8 Ru 0.250 0.250 0.250
9 Ru 0.500 0.500 0.000
10 Ru 0.500 0.500 0.500
11 Ru 0.750 0.750 0.750

3.
First-principles (PBE) data for crystalline YTa2 at its relaxed geometry, as listed in Alexandria.

Properties
ΔH_f (0 K)	0.31	eV per atom
total moment	0.0	μB/cell
energy	-29.25	eV per formula unit
offset from the most stable computed form	0.061	eV/atom
D(E_F)	1.2614	states/eV per atom

abc: 8.035 8.035 4.828
angles: 90.00 90.00 154.41
Sites, in units of the cell vectors:
1 Y 0.070 0.930 0.750
2 Y 0.930 0.070 0.250
3 Ta 0.260 0.740 0.250
4 Ta 0.372 0.628 0.750
5 Ta 0.628 0.372 0.250
6 Ta 0.740 0.260 0.750

4.
First-principles (PBE) data for crystalline CrTc2Ir at its relaxed geometry, as listed in Alexandria.

Properties
ΔH_f (0 K)	0.03	eV per atom
total moment	0.0	μB/cell
energy	-39.10	eV per formula unit
offset from the most stable computed form	0.080	eV/atom
D(E_F)	1.2800	states/eV per atom

abc: 2.675 3.941 5.349
angles: 90.00 97.20 90.00
Sites, in units of the cell vectors:
1 Cr 0.000 0.000 0.000
2 Tc 0.417 0.500 0.240
3 Tc 0.583 0.500 0.760
4 Ir 0.000 0.000 0.500

5.
First-principles (PBE) data for crystalline Na2Pm3DyTe6 at its relaxed geometry, as listed in Alexandria.

Properties
total moment	0.0	μB/cell
energy	-56.49	eV per formula unit
D(E_F)	0.3100	states/eV per atom
energy relative to the elements, uncorrected	-1345.6	meV per atom

abc: 7.714 7.714 7.783
angles: 99.48 99.48 119.95
Sites, in units of the cell vectors:
1 Na 0.166 0.834 0.000
2 Na 0.834 0.166 0.000
3 Pm 0.000 0.000 0.500
4 Pm 0.330 0.670 0.500
5 Pm 0.670 0.330 0.500
6 Dy 0.500 0.500 0.000
7 Te 0.090 0.419 0.755
8 Te 0.256 0.256 0.250
9 Te 0.419 0.090 0.755
10 Te 0.581 0.910 0.245
11 Te 0.744 0.744 0.750
12 Te 0.910 0.581 0.245

6.
First-principles (PBE) data for crystalline Ti2Nb5W at its relaxed geometry, as listed in Alexandria.

Properties
ΔH_f (0 K)	0.01	eV per atom
total moment	0.0	μB/cell
energy	-79.02	eV per formula unit
D(E_F)	1.6084	states/eV per atom

abc: 7.348 7.348 7.348
angles: 143.28 143.28 52.90
Sites, in units of the cell vectors:
1 Ti 0.248 0.248 0.000
2 Ti 0.752 0.752 0.000
3 Nb 0.121 0.621 0.500
4 Nb 0.379 0.879 0.500
5 Nb 0.500 0.500 0.000
6 Nb 0.621 0.121 0.500
7 Nb 0.879 0.379 0.500
8 W 0.000 0.000 0.000

7.
First-principles (PBE) data for crystalline Cr2TcPt2 at its relaxed geometry, as listed in Alexandria.

Properties
ΔH_f (0 K)	0.11	eV per atom
total moment	0.0	μB/cell
energy	-41.15	eV per formula unit
offset from the most stable computed form	0.000	eV/atom
D(E_F)	1.0474	states/eV per atom

abc: 7.376 7.376 2.640
angles: 90.00 90.00 90.00
Sites, in units of the cell vectors:
1 Cr 0.170 0.330 0.000
2 Cr 0.330 0.830 0.000
3 Cr 0.670 0.170 0.000
4 Cr 0.830 0.670 0.000
5 Tc 0.000 0.000 0.500
6 Tc 0.500 0.500 0.500
7 Pt 0.129 0.629 0.500
8 Pt 0.371 0.129 0.500
9 Pt 0.629 0.871 0.500
10 Pt 0.871 0.371 0.500